[1]
First-principles (SCAN) data for a crystal of Tm2MgOs relaxed with PBEsol, as listed in the Alexandria database.

```
data_Tm2MgOs
_chemical_formula_sum 'Tm2 Mg1 Os1'
_symmetry_space_group_name_H-M 'P 1'
_symmetry_Int_Tables_number 1
_cell_length_a 4.865
_cell_length_b 4.865
_cell_length_c 4.865
_cell_angle_alpha 60.00
_cell_angle_beta 60.00
_cell_angle_gamma 60.00
loop_
_symmetry_equiv_pos_as_xyz
'x,y,z'
loop_
_atom_site_label
_atom_site_type_symbol
_atom_site_fract_x
_atom_site_fract_y
_atom_site_fract_z
Mg1 Mg 0.500 0.500 0.500
Tm1 Tm 0.250 0.250 0.250
Tm2 Tm 0.750 0.750 0.750
Os1 Os 0.000 0.000 0.000
```

Calculated values
As for the energy relative to the elements: -0.3102 eV/atom. The value obtained for the calculated density is 11265 kg/m3.

[2]
First-principles (SCAN) data for a crystal of SrIn2As relaxed with PBEsol, as listed in the Alexandria database.

```
data_SrIn2As
_chemical_formula_sum 'Sr1 In2 As1'
_symmetry_space_group_name_H-M 'P 1'
_symmetry_Int_Tables_number 1
_cell_length_a 3.789
_cell_length_b 3.789
_cell_length_c 7.226
_cell_angle_alpha 90.00
_cell_angle_beta 90.00
_cell_angle_gamma 90.00
loop_
_symmetry_equiv_pos_as_xyz
'x,y,z'
loop_
_atom_site_label
_atom_site_type_symbol
_atom_site_fract_x
_atom_site_fract_y
_atom_site_fract_z
Sr1 Sr 0.500 0.500 0.000
As1 As 0.500 0.500 0.500
In1 In 0.000 0.000 0.699
In2 In 0.000 0.000 0.301
```

Calculated values
As for the energy relative to the elements: -0.3228 eV/atom. The value obtained for the calculated density is 6277 kg/m3.

[3]
First-principles (SCAN) data for a crystal of Cr2RePb relaxed with PBEsol, as listed in the Alexandria database.

```
data_Cr2RePb
_chemical_formula_sum 'Cr2 Re1 Pb1'
_symmetry_space_group_name_H-M 'P 1'
_symmetry_Int_Tables_number 1
_cell_length_a 2.998
_cell_length_b 4.547
_cell_length_c 4.547
_cell_angle_alpha 102.34
_cell_angle_beta 90.00
_cell_angle_gamma 90.00
loop_
_symmetry_equiv_pos_as_xyz
'x,y,z'
loop_
_atom_site_label
_atom_site_type_symbol
_atom_site_fract_x
_atom_site_fract_y
_atom_site_fract_z
Cr1 Cr 0.000 0.500 0.000
Cr2 Cr 0.000 0.000 0.500
Pb1 Pb 0.500 0.000 0.000
Re1 Re 0.500 0.500 0.500
```

Calculated values
As for the energy relative to the elements: 0.5887 eV/atom. The value obtained for the calculated density is 13641 kg/m3.